An optimized crystal structure of AcEuEr2. Source: Alexandria via LeMat-Bulk, functional PBE.

extended XYZ file:
```
4
Lattice="3.791 0.000 0.000 0.000 3.791 0.000 0.000 0.000 10.060" Properties=species:S:1:pos:R:3 pbc="T T T"
Eu 1.896 1.896 5.030
Ac 1.896 1.896 0.000
Er 0.000 0.000 7.548
Er 0.000 0.000 2.512
```

Its density is 8.19 Mg/m³. For the formation energy, the calculation gives 0.41 eV per formula unit.

An optimized crystal structure of Pr7SmTm4. Source: Alexandria via LeMat-Bulk, functional PBE.

extended XYZ file:
```
12
Lattice="6.038 0.000 0.000 3.019 9.050 1.868 3.019 1.637 7.944" Properties=species:S:1:pos:R:3 pbc="T T T"
Pr 9.056 8.939 5.950
Pr 3.019 1.748 3.863
Pr 3.019 5.367 3.228
Pr 9.056 5.319 6.584
Pr 6.038 8.091 7.840
Pr 3.019 0.000 0.000
Pr 6.038 2.596 1.973
Sm 0.000 0.000 0.000
Tm 6.038 3.643 5.062
Tm 6.038 7.044 4.750
Tm 6.038 5.775 1.461
Tm 6.038 4.912 8.351
```

Its density is 7.24 Mg/m³. For the formation energy, the calculation gives 2.45 eV per formula unit.

An optimized crystal structure of AsS4. Source: Alexandria via LeMat-Bulk, functional PBE.

extended XYZ file:
```
10
Lattice="-2.687 -1.274 5.534 5.002 -6.450 0.944 -0.683 7.708 1.442" Properties=species:S:1:pos:R:3 pbc="T T T"
As 0.000 0.000 0.000
As 1.158 -3.862 3.239
S 2.217 -1.542 5.962
S 1.997 -1.660 2.262
S -0.585 1.526 1.958
S -0.365 1.644 5.658
S 1.054 2.267 2.764
S -1.883 0.961 4.604
S 0.578 -2.283 5.156
S 3.516 -0.977 3.317
```

Its density is 2.77 Mg/m³. The calculation puts the uncorrected formation energy at 0.298 eV/atom.

An optimized crystal structure of CaTl4Co. Source: Alexandria via LeMat-Bulk, functional PBE.

extended XYZ file:
```
6
Lattice="3.659 1.173 4.929 -2.440 2.515 5.175 -0.547 -3.442 5.188" Properties=species:S:1:pos:R:3 pbc="T T T"
Ca 0.505 0.185 11.469
Tl 2.091 0.682 8.202
Tl -0.023 -1.637 8.332
Tl -0.974 1.356 8.326
Tl 0.252 0.092 5.724
Co 0.000 0.000 0.000
```

Its density is 8.82 Mg/m³. For the formation energy, the calculation gives 2.74 eV per formula unit.

An optimized crystal structure of KAl3Ga. Source: Alexandria via LeMat-Bulk, functional PBE.

extended XYZ file:
```
5
Lattice="5.168 0.000 0.000 0.000 5.168 0.000 0.000 0.000 5.168" Properties=species:S:1:pos:R:3 pbc="T T T"
K 2.584 2.584 2.584
Al 0.000 2.584 0.000
Al 0.000 0.000 2.584
Al 2.584 0.000 0.000
Ga 0.000 0.000 0.000
```

Its density is 2.28 Mg/m³. For the formation energy, the calculation gives 2.32 eV per formula unit.

An optimized crystal structure of LiCa2Y. Source: Alexandria via LeMat-Bulk, functional PBE.

extended XYZ file:
```
4
Lattice="-1.316 3.438 0.602 -3.022 0.494 2.129 5.285 2.251 10.247" Properties=species:S:1:pos:R:3 pbc="T T T"
Li -2.889 2.621 1.825
Ca 3.665 2.025 8.000
Ca 0.176 1.537 3.161
Y 0.467 3.091 6.481
```

Its density is 2.10 Mg/m³. For the formation energy, the calculation gives 0.44 eV per formula unit.

An optimized crystal structure of SrNiSb2. Source: Alexandria via LeMat-Bulk, functional PBE.

extended XYZ file:
```
4
Lattice="-4.440 0.208 -3.347 2.693 -2.465 -4.199 -1.611 -1.459 5.122" Properties=species:S:1:pos:R:3 pbc="T T T"
Ni 0.104 -2.526 -1.425
Sb -0.119 -0.153 -0.512
Sb -0.755 -0.975 -3.261
Sr -3.462 -1.190 -0.999
```

Its density is 5.98 Mg/m³. The calculation puts the uncorrected formation energy at -0.350 eV/atom.

An optimized crystal structure of CaHfTiSnO6. Source: Alexandria via LeMat-Bulk, functional PBE.

extended XYZ file:
```
10
Lattice="0.000 4.019 4.019 4.019 0.000 4.019 4.019 4.019 0.000" Properties=species:S:1:pos:R:3 pbc="T T T"
Ca 6.028 6.028 6.028
Hf 0.000 0.000 0.000
Ti 4.019 4.019 4.019
Sn 2.009 2.009 2.009
O 4.019 2.059 4.019
O 4.019 5.978 4.019
O 5.978 4.019 4.019
O 2.059 4.019 4.019
O 4.019 4.019 2.059
O 4.019 4.019 5.978
```

Its density is 6.15 Mg/m³. The calculation puts the uncorrected formation energy at -2.729 eV/atom.

Calculated Fermi-level density of states, 6.26 19.47 4.37 6.15 2.13 4.49 2.88 0.00 states/eV/cell (same order as the records).